(1)
# Pm4TiSn8 PBE optimized geometry
data_Pm4TiSn8
_space_group_name_H-M_alt 'P 1'
_space_group_IT_number 1
_cell_length_a 4.453
_cell_length_b 4.551
_cell_length_c 17.451
_cell_angle_alpha 90.00
_cell_angle_beta 90.00
_cell_angle_gamma 90.00
loop_
_space_group_symop_operation_xyz
'x,y,z'
loop_
_atom_site_label
_atom_site_type_symbol
_atom_site_fract_x
_atom_site_fract_y
_atom_site_fract_z
_atom_site_occupancy
Pm1 Pm 0.000 0.000 0.000 1
Pm2 Pm 0.000 0.500 0.479 1
Pm3 Pm 0.500 0.000 0.786 1
Pm4 Pm 0.500 0.500 0.287 1
Ti1 Ti 0.000 0.500 0.705 1
Sn1 Sn 0.000 0.000 0.320 1
Sn2 Sn 0.000 0.000 0.615 1
Sn3 Sn 0.000 0.500 0.142 1
Sn4 Sn 0.000 0.500 0.859 1
Sn5 Sn 0.500 0.000 0.146 1
Sn6 Sn 0.500 0.000 0.439 1
Sn7 Sn 0.500 0.500 0.613 1
Sn8 Sn 0.500 0.500 0.974 1
# DOS at the Fermi energy = 0.5814 states/eV per atom
# Formation energy from the elements = -0.549 eV per atom
# Total magnetization = 0.9 Bohr magnetons per cell



(2)
# PmTlSn2 PBE optimized geometry
data_PmTlSn2
_space_group_name_H-M_alt 'P 1'
_space_group_IT_number 1
_cell_length_a 5.206
_cell_length_b 5.206
_cell_length_c 14.999
_cell_angle_alpha 90.00
_cell_angle_beta 90.00
_cell_angle_gamma 120.00
loop_
_space_group_symop_operation_xyz
'x,y,z'
loop_
_atom_site_label
_atom_site_type_symbol
_atom_site_fract_x
_atom_site_fract_y
_atom_site_fract_z
_atom_site_occupancy
Pm1 Pm 0.000 0.000 0.000 1
Pm2 Pm 0.333 0.667 0.667 1
Pm3 Pm 0.667 0.333 0.333 1
Tl1 Tl 0.000 0.000 0.500 1
Tl2 Tl 0.333 0.667 0.167 1
Tl3 Tl 0.667 0.333 0.833 1
Sn1 Sn 0.000 0.000 0.231 1
Sn2 Sn 0.000 0.000 0.769 1
Sn3 Sn 0.333 0.667 0.436 1
Sn4 Sn 0.333 0.667 0.897 1
Sn5 Sn 0.667 0.333 0.103 1
Sn6 Sn 0.667 0.333 0.564 1
# DOS at the Fermi energy = 0.7033 states/eV per atom
# Formation energy from the elements = -0.173 eV per atom
# E above lowest polymorph = 0.272 eV per atom
# Total magnetization = 0.0 Bohr magnetons per cell



(3)
# Pm6TlSn6 PBE optimized geometry
data_Pm6TlSn6
_space_group_name_H-M_alt 'P 1'
_space_group_IT_number 1
_cell_length_a 6.533
_cell_length_b 6.533
_cell_length_c 10.511
_cell_angle_alpha 90.00
_cell_angle_beta 90.00
_cell_angle_gamma 120.00
loop_
_space_group_symop_operation_xyz
'x,y,z'
loop_
_atom_site_label
_atom_site_type_symbol
_atom_site_fract_x
_atom_site_fract_y
_atom_site_fract_z
_atom_site_occupancy
Pm1 Pm 0.000 0.000 0.189 1
Pm2 Pm 0.000 0.000 0.811 1
Pm3 Pm 0.333 0.667 0.000 1
Pm4 Pm 0.333 0.667 0.500 1
Pm5 Pm 0.667 0.333 0.000 1
Pm6 Pm 0.667 0.333 0.500 1
Tl1 Tl 0.000 0.000 0.500 1
Sn1 Sn 0.000 0.500 0.250 1
Sn2 Sn 0.000 0.500 0.750 1
Sn3 Sn 0.500 0.000 0.250 1
Sn4 Sn 0.500 0.000 0.750 1
Sn5 Sn 0.500 0.500 0.250 1
Sn6 Sn 0.500 0.500 0.750 1
# DOS at the Fermi energy = 0.8333 states/eV per atom
# Formation energy from the elements = -0.590 eV per atom
# Total magnetization = 0.0 Bohr magnetons per cell



(4)
# Pm4TlSn2 PBE optimized geometry
data_Pm4TlSn2
_space_group_name_H-M_alt 'P 1'
_space_group_IT_number 1
_cell_length_a 5.951
_cell_length_b 5.951
_cell_length_c 12.885
_cell_angle_alpha 90.00
_cell_angle_beta 90.00
_cell_angle_gamma 90.00
loop_
_space_group_symop_operation_xyz
'x,y,z'
loop_
_atom_site_label
_atom_site_type_symbol
_atom_site_fract_x
_atom_site_fract_y
_atom_site_fract_z
_atom_site_occupancy
Pm1 Pm 0.000 0.500 0.000 1
Pm2 Pm 0.000 0.500 0.250 1
Pm3 Pm 0.000 0.500 0.500 1
Pm4 Pm 0.000 0.500 0.750 1
Pm5 Pm 0.500 0.000 0.000 1
Pm6 Pm 0.500 0.000 0.250 1
Pm7 Pm 0.500 0.000 0.500 1
Pm8 Pm 0.500 0.000 0.750 1
Tl1 Tl 0.000 0.000 0.000 1
Tl2 Tl 0.500 0.500 0.500 1
Sn1 Sn 0.000 0.000 0.372 1
Sn2 Sn 0.000 0.000 0.628 1
Sn3 Sn 0.500 0.500 0.128 1
Sn4 Sn 0.500 0.500 0.872 1
# DOS at the Fermi energy = 0.7895 states/eV per atom
# Formation energy from the elements = -0.262 eV per atom
# Total magnetization = 0.0 Bohr magnetons per cell



(5)
# Pm5TlSn8 PBE optimized geometry
data_Pm5TlSn8
_space_group_name_H-M_alt 'P 1'
_space_group_IT_number 1
_cell_length_a 8.155
_cell_length_b 8.155
_cell_length_c 8.155
_cell_angle_alpha 107.21
_cell_angle_beta 107.21
_cell_angle_gamma 114.09
loop_
_space_group_symop_operation_xyz
'x,y,z'
loop_
_atom_site_label
_atom_site_type_symbol
_atom_site_fract_x
_atom_site_fract_y
_atom_site_fract_z
_atom_site_occupancy
Pm1 Pm 0.000 0.000 0.000 1
Pm2 Pm 0.084 0.256 0.595 1
Pm3 Pm 0.511 0.916 0.172 1
Pm4 Pm 0.661 0.489 0.405 1
Pm5 Pm 0.744 0.339 0.828 1
Tl1 Tl 0.250 0.750 0.500 1
Sn1 Sn 0.088 0.677 0.790 1
Sn2 Sn 0.247 0.461 0.091 1
Sn3 Sn 0.323 0.113 0.411 1
Sn4 Sn 0.370 0.155 0.909 1
Sn5 Sn 0.539 0.630 0.785 1
Sn6 Sn 0.702 0.912 0.589 1
Sn7 Sn 0.845 0.753 0.215 1
Sn8 Sn 0.887 0.298 0.210 1
# DOS at the Fermi energy = 0.6871 states/eV per atom
# Formation energy from the elements = -0.425 eV per atom
# Total magnetization = 0.0 Bohr magnetons per cell



(6)
# Pm12TlSn7 PBE optimized geometry
data_Pm12TlSn7
_space_group_name_H-M_alt 'P 1'
_space_group_IT_number 1
_cell_length_a 9.136
_cell_length_b 9.136
_cell_length_c 9.136
_cell_angle_alpha 107.79
_cell_angle_beta 107.79
_cell_angle_gamma 107.79
loop_
_space_group_symop_operation_xyz
'x,y,z'
loop_
_atom_site_label
_atom_site_type_symbol
_atom_site_fract_x
_atom_site_fract_y
_atom_site_fract_z
_atom_site_occupancy
Pm1 Pm 0.120 0.830 0.288 1
Pm2 Pm 0.155 0.250 0.473 1
Pm3 Pm 0.170 0.712 0.880 1
Pm4 Pm 0.250 0.473 0.155 1
Pm5 Pm 0.288 0.120 0.830 1
Pm6 Pm 0.473 0.155 0.250 1
Pm7 Pm 0.527 0.845 0.750 1
Pm8 Pm 0.712 0.880 0.170 1
Pm9 Pm 0.750 0.527 0.845 1
Pm10 Pm 0.830 0.288 0.120 1
Pm11 Pm 0.845 0.750 0.527 1
Pm12 Pm 0.880 0.170 0.712 1
Tl1 Tl 0.500 0.500 0.500 1
Sn1 Sn 0.000 0.000 0.000 1
Sn2 Sn 0.141 0.604 0.481 1
Sn3 Sn 0.396 0.519 0.859 1
Sn4 Sn 0.481 0.141 0.604 1
Sn5 Sn 0.519 0.859 0.396 1
Sn6 Sn 0.604 0.481 0.141 1
Sn7 Sn 0.859 0.396 0.519 1
# DOS at the Fermi energy = 1.0808 states/eV per atom
# Formation energy from the elements = -0.470 eV per atom
# Total magnetization = 0.0 Bohr magnetons per cell



(7)
# PmTlSn2 PBE optimized geometry
data_PmTlSn2
_space_group_name_H-M_alt 'P 1'
_space_group_IT_number 1
_cell_length_a 4.231
_cell_length_b 4.231
_cell_length_c 6.451
_cell_angle_alpha 90.00
_cell_angle_beta 90.00
_cell_angle_gamma 90.00
loop_
_space_group_symop_operation_xyz
'x,y,z'
loop_
_atom_site_label
_atom_site_type_symbol
_atom_site_fract_x
_atom_site_fract_y
_atom_site_fract_z
_atom_site_occupancy
Pm1 Pm 0.000 0.000 0.000 1
Tl1 Tl 0.000 0.000 0.500 1
Sn1 Sn 0.500 0.500 0.236 1
Sn2 Sn 0.500 0.500 0.764 1
# DOS at the Fermi energy = 0.6846 states/eV per atom
# Formation energy from the elements = -0.325 eV per atom
# E above lowest polymorph = 0.120 eV per atom
# Total magnetization = 0.0 Bohr magnetons per cell



(8)
# Pm3Tl2Sn PBE optimized geometry
data_Pm3Tl2Sn
_space_group_name_H-M_alt 'P 1'
_space_group_IT_number 1
_cell_length_a 5.160
_cell_length_b 15.444
_cell_length_c 4.342
_cell_angle_alpha 90.00
_cell_angle_beta 90.00
_cell_angle_gamma 90.00
loop_
_space_group_symop_operation_xyz
'x,y,z'
loop_
_atom_site_label
_atom_site_type_symbol
_atom_site_fract_x
_atom_site_fract_y
_atom_site_fract_z
_atom_site_occupancy
Pm1 Pm 0.000 0.000 0.000 1
Pm2 Pm 0.000 0.337 0.000 1
Pm3 Pm 0.000 0.663 0.000 1
Pm4 Pm 0.500 0.163 0.000 1
Pm5 Pm 0.500 0.500 0.000 1
Pm6 Pm 0.500 0.837 0.000 1
Tl1 Tl 0.000 0.171 0.500 1
Tl2 Tl 0.000 0.829 0.500 1
Tl3 Tl 0.500 0.329 0.500 1
Tl4 Tl 0.500 0.671 0.500 1
Sn1 Sn 0.000 0.500 0.500 1
Sn2 Sn 0.500 0.000 0.500 1
# DOS at the Fermi energy = 0.6554 states/eV per atom
# Formation energy from the elements = -0.491 eV per atom
# E above lowest polymorph = 0.000 eV per atom
# Total magnetization = 0.0 Bohr magnetons per cell



(9)
# Pm4Tl3Sn PBE optimized geometry
data_Pm4Tl3Sn
_space_group_name_H-M_alt 'P 1'
_space_group_IT_number 1
_cell_length_a 7.725
_cell_length_b 7.738
_cell_length_c 8.676
_cell_angle_alpha 90.00
_cell_angle_beta 116.33
_cell_angle_gamma 90.00
loop_
_space_group_symop_operation_xyz
'x,y,z'
loop_
_atom_site_label
_atom_site_type_symbol
_atom_site_fract_x
_atom_site_fract_y
_atom_site_fract_z
_atom_site_occupancy
Pm1 Pm 0.126 0.250 0.252 1
Pm2 Pm 0.126 0.750 0.252 1
Pm3 Pm 0.374 0.250 0.748 1
Pm4 Pm 0.374 0.750 0.748 1
Pm5 Pm 0.626 0.250 0.252 1
Pm6 Pm 0.626 0.750 0.252 1
Pm7 Pm 0.874 0.250 0.748 1
Pm8 Pm 0.874 0.750 0.748 1
Tl1 Tl 0.000 0.000 0.500 1
Tl2 Tl 0.247 0.000 0.994 1
Tl3 Tl 0.253 0.500 0.006 1
Tl4 Tl 0.500 0.500 0.500 1
Tl5 Tl 0.747 0.500 0.994 1
Tl6 Tl 0.753 0.000 0.006 1
Sn1 Sn 0.000 0.500 0.500 1
Sn2 Sn 0.500 0.000 0.500 1
# DOS at the Fermi energy = 0.3308 states/eV per atom
# Formation energy from the elements = -0.459 eV per atom
# E above lowest polymorph = 0.003 eV per atom
# Total magnetization = 0.0 Bohr magnetons per cell



(10)
# Pm3TlSn2 PBE optimized geometry
data_Pm3TlSn2
_space_group_name_H-M_alt 'P 1'
_space_group_IT_number 1
_cell_length_a 12.789
_cell_length_b 4.721
_cell_length_c 11.998
_cell_angle_alpha 90.00
_cell_angle_beta 90.00
_cell_angle_gamma 90.00
loop_
_space_group_symop_operation_xyz
'x,y,z'
loop_
_atom_site_label
_atom_site_type_symbol
_atom_site_fract_x
_atom_site_fract_y
_atom_site_fract_z
_atom_site_occupancy
Pm1 Pm 0.038 0.250 0.122 1
Pm2 Pm 0.134 0.750 0.572 1
Pm3 Pm 0.200 0.250 0.815 1
Pm4 Pm 0.300 0.750 0.315 1
Pm5 Pm 0.366 0.250 0.072 1
Pm6 Pm 0.462 0.750 0.622 1
Pm7 Pm 0.538 0.250 0.378 1
Pm8 Pm 0.634 0.750 0.928 1
Pm9 Pm 0.700 0.250 0.685 1
Pm10 Pm 0.800 0.750 0.185 1
Pm11 Pm 0.866 0.250 0.428 1
Pm12 Pm 0.962 0.750 0.878 1
Tl1 Tl 0.148 0.250 0.356 1
Tl2 Tl 0.352 0.750 0.856 1
Tl3 Tl 0.648 0.250 0.144 1
Tl4 Tl 0.852 0.750 0.644 1
Sn1 Sn 0.006 0.750 0.322 1
Sn2 Sn 0.182 0.750 0.030 1
Sn3 Sn 0.318 0.250 0.530 1
Sn4 Sn 0.494 0.250 0.822 1
Sn5 Sn 0.506 0.750 0.178 1
Sn6 Sn 0.682 0.750 0.470 1
Sn7 Sn 0.818 0.250 0.970 1
Sn8 Sn 0.994 0.250 0.678 1
# DOS at the Fermi energy = 0.6276 states/eV per atom
# Formation energy from the elements = -0.557 eV per atom
# E above lowest polymorph = 0.000 eV per atom
# Total magnetization = 0.0 Bohr magnetons per cell



(11)
# Pm12Tl5Sn2 PBE optimized geometry
data_Pm12Tl5Sn2
_space_group_name_H-M_alt 'P 1'
_space_group_IT_number 1
_cell_length_a 9.882
_cell_length_b 9.882
_cell_length_c 9.439
_cell_angle_alpha 91.34
_cell_angle_beta 91.34
_cell_angle_gamma 42.13
loop_
_space_group_symop_operation_xyz
'x,y,z'
loop_
_atom_site_label
_atom_site_type_symbol
_atom_site_fract_x
_atom_site_fract_y
_atom_site_fract_z
_atom_site_occupancy
Pm1 Pm 0.015 0.015 0.307 1
Pm2 Pm 0.085 0.585 0.067 1
Pm3 Pm 0.100 0.600 0.474 1
Pm4 Pm 0.400 0.900 0.526 1
Pm5 Pm 0.415 0.915 0.933 1
Pm6 Pm 0.437 0.437 0.794 1
Pm7 Pm 0.563 0.563 0.206 1
Pm8 Pm 0.585 0.085 0.067 1
Pm9 Pm 0.600 0.100 0.474 1
Pm10 Pm 0.900 0.400 0.526 1
Pm11 Pm 0.915 0.415 0.933 1
Pm12 Pm 0.985 0.985 0.693 1
Tl1 Tl 0.206 0.206 0.247 1
Tl2 Tl 0.267 0.267 0.736 1
Tl3 Tl 0.500 0.500 0.500 1
Tl4 Tl 0.733 0.733 0.264 1
Tl5 Tl 0.794 0.794 0.753 1
Sn1 Sn 0.202 0.798 0.000 1
Sn2 Sn 0.798 0.202 0.000 1
# DOS at the Fermi energy = 1.2956 states/eV per atom
# Formation energy from the elements = -0.203 eV per atom
# Total magnetization = 1.2 Bohr magnetons per cell



(12)
# Pm7TlSn4 PBE optimized geometry
data_Pm7TlSn4
_space_group_name_H-M_alt 'P 1'
_space_group_IT_number 1
_cell_length_a 7.977
_cell_length_b 7.977
_cell_length_c 11.170
_cell_angle_alpha 123.24
_cell_angle_beta 123.24
_cell_angle_gamma 42.76
loop_
_space_group_symop_operation_xyz
'x,y,z'
loop_
_atom_site_label
_atom_site_type_symbol
_atom_site_fract_x
_atom_site_fract_y
_atom_site_fract_z
_atom_site_occupancy
Pm1 Pm 0.000 0.000 0.000 1
Pm2 Pm 0.158 0.158 0.580 1
Pm3 Pm 0.296 0.296 0.126 1
Pm4 Pm 0.425 0.425 0.670 1
Pm5 Pm 0.575 0.575 0.330 1
Pm6 Pm 0.704 0.704 0.874 1
Pm7 Pm 0.842 0.842 0.420 1
Tl1 Tl 0.500 0.500 0.000 1
Sn1 Sn 0.074 0.074 0.777 1
Sn2 Sn 0.215 0.215 0.334 1
Sn3 Sn 0.785 0.785 0.666 1
Sn4 Sn 0.926 0.926 0.223 1
# DOS at the Fermi energy = 0.8030 states/eV per atom
# Formation energy from the elements = -0.392 eV per atom
# Total magnetization = 0.0 Bohr magnetons per cell